Computed, not measured: a relaxed structure of CaNiP2Os at the GGA-PBE level of DFT.

Unit cell a=3.8218 b=3.8218 c=6.3382 alpha=107.55 beta=107.55 gamma=90.00
Atoms (fractional coordinates):
Os  0.2500  0.7500  0.5000
Ni  0.7500  0.2500  0.5000
P  0.6361  0.6361  0.2723
P  0.3639  0.3639  0.7277
Ca  0.0000  0.0000  0.0000

Computed properties:
Calculated total energy   -33.23 eV per cell
DOS at the Fermi energy   2.6 states/eV/f.u.
Calculated density   7.0 g/cm³
SG   I-4m2, No. 119